Record 1
The following is a DFT calculation (SCAN) of LaYMg4 at its PBEsol-relaxed geometry.

The structure belongs to space group F-43m (No. 216); the cell edges are 8.571, 8.571 and 8.571 Å and the angles 90.00°, 90.00° and 90.00°. The inequivalent atoms are La at (0.000, 0.000, 0.000), Y at (0.250, 0.250, 0.750) and Mg at (0.125, 0.125, 0.375).

The energy of formation is -0.13 eV/atom.



Record 2
The following is a DFT calculation (SCAN) of La7ScAl8O24 at its PBEsol-relaxed geometry.

The structure belongs to space group Pm-3m (No. 221); the cell edges are 7.505, 7.505 and 7.505 Å and the angles 90.00°, 90.00° and 90.00°. The inequivalent atoms are La at (0.000, 0.000, 0.000), La at (0.000, 0.000, 0.500), La at (0.000, 0.500, 0.500), Sc at (0.500, 0.500, 0.500), Al at (0.252, 0.252, 0.252), O at (0.000, 0.251, 0.251) and O at (0.254, 0.254, 0.500).

As for the formation energy from raw total energies: -13950.9 kJ/mol of formula units.



Record 3
The following is a DFT calculation (SCAN) of CaSc2HgO at its PBEsol-relaxed geometry.

The structure belongs to space group P4/mmm (No. 123); the cell edges are 4.412, 4.412 and 4.664 Å and the angles 90.00°, 90.00° and 90.00°. The inequivalent atoms are Ca at (0.000, 0.000, 0.000), Sc at (0.000, 0.500, 0.500), Hg at (0.500, 0.500, 0.000) and O at (0.000, 0.000, 0.500).

As for the formation energy from raw total energies: -784.4 kJ/mol of formula units.



Record 4
The following is a DFT calculation (SCAN) of Sc2TaSb at its PBEsol-relaxed geometry.

The structure belongs to space group P4/mmm (No. 123); the cell edges are 3.098, 3.098 and 8.765 Å and the angles 90.00°, 90.00° and 90.00°. The inequivalent atoms are Sc at (0.000, 0.000, 0.238), Ta at (0.500, 0.500, 0.000) and Sb at (0.500, 0.500, 0.500).

As for the formation energy from raw total energies: -67.0 kJ/mol of formula units.



Copy entry 2 word for word.
The following is a DFT calculation (SCAN) of La7ScAl8O24 at its PBEsol-relaxed geometry.

The structure belongs to space group Pm-3m (No. 221); the cell edges are 7.505, 7.505 and 7.505 Å and the angles 90.00°, 90.00° and 90.00°. The inequivalent atoms are La at (0.000, 0.000, 0.000), La at (0.000, 0.000, 0.500), La at (0.000, 0.500, 0.500), Sc at (0.500, 0.500, 0.500), Al at (0.252, 0.252, 0.252), O at (0.000, 0.251, 0.251) and O at (0.254, 0.254, 0.500).

As for the formation energy from raw total energies: -13950.9 kJ/mol of formula units.



What is the formula in the fourth record? Sc2TaSb